## VHgRhF2 (GGA+U)

Data for a geometry-optimized VHgRhF2 structure.

Cell lengths 3.9443, 3.9443, 5.2371 Å; angles 90.00, 90.00, 90.00 degrees
Space group P4/mmm (No. 123)
Unique sites:
V (0.0000, 0.0000, 0.0000) x1
Hg (0.5000, 0.5000, 0.5000) x1
Rh (0.0000, 0.0000, 0.5000) x1
F (0.0000, 0.5000, 0.0000) x2

Fermi-level density of states	2.8	states/eV/cell
E_tot	-0.3555	Ry/atom